VASP calculation (PBE) on NdSn2PdPt4 after structural relaxation.

Geometry as POSCAR:
```
NdSn2PdPt4
1.0
4.5061 0.0000 0.0000
2.2530 3.9024 0.0000
2.2530 1.3008 8.8942
Nd Sn Pd Pt
1 2 1 4
direct
0.0000 0.0000 0.0000
0.7622 0.7622 0.7133
0.2378 0.2378 0.2867
0.5000 0.5000 0.5000
0.3976 0.3976 0.8071
0.8714 0.8714 0.3860
0.1286 0.1286 0.6140
0.6024 0.6024 0.1929
```

Calculated values
VASP energy: -5.87 eV per atom
space group: R-3m, No. 166